{"formula": "LiGdBiAu", "functional": "PBE", "state": "optimized geometry", "sg": "F-43m", "dft_energy_ev_per_atom": -6.45, "lattice": [[5.141, 0.000, 0.000], [2.570, 4.452, 0.000], [2.570, 1.484, 4.197]], "species": ["Gd", "Au", "Bi", "Li"], "fractional_positions": [[0.750, 0.750, 0.750], [0.000, 0.000, 0.000], [0.500, 0.500, 0.500], [0.250, 0.250, 0.250]]}


{"formula": "LaMgOs", "functional": "PBE", "state": "optimized geometry", "sg": "F-43m", "dft_energy_ev_per_atom": -5.73, "lattice": [[4.721, 0.000, 0.000], [2.361, 4.089, 0.000], [2.361, 1.363, 3.855]], "species": ["La", "Mg", "Os"], "fractional_positions": [[0.000, 0.000, 0.000], [0.500, 0.500, 0.500], [0.750, 0.750, 0.750]]}


{"formula": "Nd3Np2Fe4", "functional": "PBE", "state": "optimized geometry", "sg": "C2/m", "dft_energy_ev_per_atom": -8.23, "lattice": [[4.017, 0.000, 0.000], [-2.009, 5.430, -1.467], [0.000, 0.056, 8.571]], "species": ["Nd", "Nd", "Nd", "Np", "Np", "Fe", "Fe", "Fe", "Fe"], "fractional_positions": [[0.374, 0.749, 0.620], [0.000, 0.000, 0.000], [0.626, 0.251, 0.380], [0.329, 0.658, 0.219], [0.671, 0.342, 0.781], [0.737, 0.475, 0.088], [0.090, 0.180, 0.647], [0.910, 0.820, 0.353], [0.263, 0.525, 0.912]]}


{"formula": "NaGa2Hg", "functional": "PBE", "state": "optimized geometry", "sg": "R-3m", "dft_energy_ev_per_atom": -1.93, "lattice": [[4.637, 0.000, 0.000], [2.319, 4.016, 0.000], [2.319, 1.339, 5.144]], "species": ["Na", "Hg", "Ga", "Ga"], "fractional_positions": [[0.500, 0.500, 0.500], [0.000, 0.000, 0.000], [0.275, 0.275, 0.174], [0.725, 0.725, 0.826]]}


{"formula": "CsUPtSe4", "functional": "PBE", "state": "optimized geometry", "raw_formation_energy_ev_per_atom": -0.843, "sg": "P2_1/m", "lattice": [[6.632, 0.000, -0.097], [0.000, 6.397, 0.000], [-2.713, 0.000, 9.556]], "species": ["Cs", "Cs", "U", "U", "Pt", "Pt", "Se", "Se", "Se", "Se", "Se", "Se", "Se", "Se"], "fractional_positions": [[0.773, 0.750, 0.966], [0.227, 0.250, 0.034], [0.756, 0.750, 0.456], [0.244, 0.250, 0.544], [0.237, 0.750, 0.387], [0.763, 0.250, 0.613], [0.036, 0.518, 0.692], [0.964, 0.018, 0.308], [0.964, 0.482, 0.308], [0.036, 0.982, 0.692], [0.450, 0.750, 0.209], [0.550, 0.250, 0.791], [0.483, 0.750, 0.618], [0.517, 0.250, 0.382]]}


{"formula": "Pa12SiTc6", "functional": "PBE", "state": "optimized geometry", "raw_formation_energy_ev_per_atom": 0.123, "sg": "R-3", "lattice": [[-1.341, 6.881, 3.479], [-5.168, -4.192, 4.120], [6.351, -1.955, 4.135]], "species": ["Pa", "Pa", "Pa", "Pa", "Pa", "Pa", "Pa", "Pa", "Pa", "Pa", "Pa", "Pa", "Si", "Tc", "Tc", "Tc", "Tc", "Tc", "Tc"], "fractional_positions": [[0.812, 0.600, 0.450], [0.450, 0.812, 0.600], [0.600, 0.450, 0.812], [0.188, 0.400, 0.550], [0.550, 0.188, 0.400], [0.400, 0.550, 0.188], [0.072, 0.972, 0.346], [0.028, 0.654, 0.928], [0.654, 0.928, 0.028], [0.928, 0.028, 0.654], [0.972, 0.346, 0.072], [0.346, 0.072, 0.972], [0.000, 0.000, 0.000], [0.663, 0.866, 0.359], [0.641, 0.337, 0.134], [0.134, 0.641, 0.337], [0.337, 0.134, 0.641], [0.359, 0.663, 0.866], [0.866, 0.359, 0.663]]}


{"formula": "Gd2TmSn", "functional": "PBE", "state": "optimized geometry", "relative_energy_kj_per_mol_fu": 26, "sg": "P4/mmm", "lattice": [[4.185, 0.000, 0.000], [0.000, 4.185, 0.000], [0.000, 0.000, 6.646]], "species": ["Gd", "Gd", "Tm", "Sn"], "fractional_positions": [[0.000, 0.000, 0.734], [0.000, 0.000, 0.266], [0.500, 0.500, 0.000], [0.500, 0.500, 0.500]]}


{"formula": "Mg2AlSi", "functional": "PBE", "state": "optimized geometry", "raw_formation_energy_ev_per_atom": 0.112, "sg": "R-3m", "lattice": [[9.887, 0.080, 0.047], [9.418, 3.010, 0.047], [9.418, 1.508, 2.606]], "species": ["Al", "Mg", "Mg", "Si"], "fractional_positions": [[0.750, 0.750, 0.750], [0.000, 0.000, 0.000], [0.500, 0.500, 0.500], [0.250, 0.250, 0.250]]}


{"formula": "AlSi2Bi", "functional": "PBE", "state": "optimized geometry", "raw_formation_energy_ev_per_atom": 0.579, "relative_energy_kj_per_mol_fu": 114, "sg": "Fm-3m", "lattice": [[0.000, 3.447, 3.447], [3.447, 0.000, 3.447], [3.447, 3.447, 0.000]], "species": ["Si", "Si", "Bi", "Al"], "fractional_positions": [[0.250, 0.250, 0.250], [0.750, 0.750, 0.750], [0.500, 0.500, 0.500], [0.000, 0.000, 0.000]]}


{"formula": "Dy8Er2In", "functional": "PBE", "state": "optimized geometry", "sg": "C2/m", "dft_energy_ev_per_atom": -4.43, "lattice": [[5.327, 0.000, 0.000], [0.000, 8.281, -0.136], [-2.663, -3.650, 7.729]], "species": ["Dy", "Dy", "Dy", "Dy", "Dy", "Dy", "Dy", "Dy", "Er", "Er", "In"], "fractional_positions": [[0.393, 0.567, 0.786], [0.669, 0.903, 0.338], [0.841, 0.799, 0.682], [0.980, 0.274, 0.960], [0.159, 0.201, 0.318], [0.331, 0.097, 0.662], [0.607, 0.433, 0.214], [0.020, 0.726, 0.040], [0.800, 0.350, 0.599], [0.200, 0.650, 0.401], [0.500, 0.000, 0.000]]}


{"formula": "Sm4Dy3PuS8", "functional": "PBE", "state": "optimized geometry", "raw_formation_energy_ev_per_atom": -1.993, "sg": "R-3m", "lattice": [[7.915, 0.000, 0.000], [0.000, 7.937, 0.011], [-3.957, -3.953, 5.599]], "species": ["Sm", "Sm", "Sm", "Sm", "Dy", "Dy", "Dy", "Pu", "S", "S", "S", "S", "S", "S", "S", "S"], "fractional_positions": [[0.500, 0.000, 0.000], [0.500, 0.000, 0.500], [0.000, 0.000, 0.000], [0.000, 0.000, 0.500], [0.500, 0.500, 0.000], [0.500, 0.500, 0.500], [0.000, 0.500, 0.500], [0.000, 0.500, 0.000], [0.248, 0.742, 0.994], [0.248, 0.742, 0.496], [0.253, 0.260, 0.507], [0.746, 0.742, 0.994], [0.254, 0.258, 0.006], [0.747, 0.740, 0.493], [0.752, 0.258, 0.504], [0.752, 0.258, 0.006]]}


{"formula": "RbGaS3", "functional": "PBE", "state": "optimized geometry", "raw_formation_energy_ev_per_atom": -0.231, "sg": "Pm-3m", "lattice": [[4.903, 0.000, 0.000], [0.000, 4.903, 0.000], [0.000, 0.000, 4.903]], "species": ["S", "S", "S", "Ga", "Rb"], "fractional_positions": [[0.000, 0.500, 0.000], [0.000, 0.000, 0.500], [0.500, 0.000, 0.000], [0.000, 0.000, 0.000], [0.500, 0.500, 0.500]]}